The following is a DFT calculation (GGA+U) of crystalline Li2MgMn3O8 at its relaxed geometry.

Summary:
* crystal system: cubic
* offset from the most stable computed form: 0 meV per atom
* raw total energy: -6.6319 eV per atom
* N(E_F): 0.0 states/eV per cell
* theoretical density: 3.81 g/cm3
* space group: P4_332 (212)

Cell and atoms, written as CIF:
```
data_Li2MgMn3O8
_chemical_formula_sum 'Li8 Mg4 Mn12 O32'
_cell_length_a 8.323
_cell_length_b 8.323
_cell_length_c 8.323
_cell_angle_alpha 90.00
_cell_angle_beta 90.00
_cell_angle_gamma 90.00
_symmetry_space_group_name_H-M 'P 1'
_symmetry_Int_Tables_number 1
loop_
_symmetry_equiv_pos_as_xyz
'x,y,z'
loop_
_atom_site_label
_atom_site_type_symbol
_atom_site_fract_x
_atom_site_fract_y
_atom_site_fract_z
_atom_site_occupancy
Li1 Li 0.497 0.997 0.503 1
Li2 Li 0.247 0.247 0.247 1
Li3 Li 0.253 0.753 0.747 1
Li4 Li 0.747 0.253 0.753 1
Li5 Li 0.997 0.503 0.497 1
Li6 Li 0.753 0.747 0.253 1
Li7 Li 0.503 0.497 0.997 1
Li8 Li 0.003 0.003 0.003 1
Mg1 Mg 0.375 0.125 0.875 1
Mg2 Mg 0.125 0.875 0.375 1
Mg3 Mg 0.875 0.375 0.125 1
Mg4 Mg 0.625 0.625 0.625 1
Mn1 Mn 0.125 0.379 0.871 1
Mn2 Mn 0.375 0.621 0.371 1
Mn3 Mn 0.629 0.875 0.879 1
Mn4 Mn 0.621 0.371 0.375 1
Mn5 Mn 0.379 0.871 0.125 1
Mn6 Mn 0.879 0.629 0.875 1
Mn7 Mn 0.875 0.879 0.629 1
Mn8 Mn 0.625 0.121 0.129 1
Mn9 Mn 0.121 0.129 0.625 1
Mn10 Mn 0.129 0.625 0.121 1
Mn11 Mn 0.371 0.375 0.621 1
Mn12 Mn 0.871 0.125 0.379 1
O1 O 0.125 0.392 0.100 1
O2 O 0.608 0.600 0.375 1
O3 O 0.392 0.100 0.125 1
O4 O 0.625 0.108 0.900 1
O5 O 0.100 0.125 0.392 1
O6 O 0.365 0.635 0.135 1
O7 O 0.150 0.858 0.125 1
O8 O 0.875 0.892 0.400 1
O9 O 0.400 0.875 0.892 1
O10 O 0.600 0.375 0.608 1
O11 O 0.385 0.385 0.385 1
O12 O 0.375 0.850 0.358 1
O13 O 0.900 0.625 0.108 1
O14 O 0.858 0.125 0.150 1
O15 O 0.892 0.400 0.875 1
O16 O 0.142 0.625 0.350 1
O17 O 0.650 0.642 0.875 1
O18 O 0.615 0.885 0.115 1
O19 O 0.358 0.375 0.850 1
O20 O 0.875 0.650 0.642 1
O21 O 0.625 0.350 0.142 1
O22 O 0.635 0.135 0.365 1
O23 O 0.850 0.358 0.375 1
O24 O 0.885 0.115 0.615 1
O25 O 0.115 0.615 0.885 1
O26 O 0.375 0.608 0.600 1
O27 O 0.108 0.900 0.625 1
O28 O 0.350 0.142 0.625 1
O29 O 0.135 0.365 0.635 1
O30 O 0.642 0.875 0.650 1
O31 O 0.865 0.865 0.865 1
O32 O 0.125 0.150 0.858 1
```